Material: CaAcTh2As4
Method: DFT, PBE-GGA
State: relaxed

- Symmetry: P2/m, No. 10

a b c (Å): 7.4845 4.3369 7.5501
angles (deg): 90.00 109.38 90.00
Last column: nearest neighbours and their distance in Å.
Fractional positions:
Ca 0.0000 0.0000 0.0000  6 As 3.11-3.12
Ac 0.5000 0.5000 0.0000  6 As 3.15
Th 0.0000 0.5000 0.5000  6 As 2.99
Th 0.5000 0.0000 0.5000  6 As 3.03
As 0.2405 0.0000 0.7346  3 Th 2.99-3.03, 1 Ca 3.11, 2 Ac 3.15
As 0.2508 0.5000 0.2637  3 Th 2.99-3.03, 2 Ca 3.12, 1 Ac 3.15
As 0.7492 0.5000 0.7363  3 Th 2.99-3.03, 2 Ca 3.12, 1 Ac 3.15
As 0.7595 0.0000 0.2654  3 Th 2.99-3.03, 1 Ca 3.11, 2 Ac 3.15

***

Material: Li5Y2Pd5
Method: DFT, PBE-GGA
State: relaxed

- Symmetry: C2/m, No. 12

a b c (Å): 5.9932 5.9932 9.3055
angles (deg): 111.00 111.00 41.72
Last column: nearest neighbours and their distance in Å.
Fractional positions:
Li 0.0000 0.0000 0.0000  6 Pd 2.82-2.90, 2 Li 2.94, 4 Y 3.02
Li 0.1255 0.1255 0.7750  3 Pd 2.53-2.63, 1 Li 2.58
Li 0.1476 0.1476 0.5096  1 Li 2.58, 2 Pd 2.68
Li 0.8524 0.8524 0.4904  1 Li 2.58, 2 Pd 2.68
Li 0.8745 0.8745 0.2250  3 Pd 2.53-2.63, 1 Li 2.58
Y 0.4190 0.4190 0.7507  5 Pd 2.79-2.86, 7 Li 3.01-3.10
Y 0.5810 0.5810 0.2493  5 Pd 2.79-2.86, 7 Li 3.01-3.10
Pd 0.2495 0.2495 0.2562  3 Li 2.63-2.90, 2 Y 2.83, 2 Pd 2.85
Pd 0.3384 0.3384 0.0074  3 Li 2.53-2.82, 1 Y 2.79
Pd 0.5000 0.5000 0.5000  4 Li 2.68, 2 Y 2.81, 2 Pd 2.85
Pd 0.6616 0.6616 0.9926  3 Li 2.53-2.82, 1 Y 2.79
Pd 0.7505 0.7505 0.7438  3 Li 2.63-2.90, 2 Y 2.83, 2 Pd 2.85

***

Calculated energy of formation (meV per atom), listed in the same order as above: -1397, -456